No. 1
{
  "formula": "DyTh5C3",
  "functional": "PBE-GGA",
  "state": "optimized geometry",
  "cell": [[5.720, -4.433, 0.000], [5.720, 4.433, 0.000], [-4.395, 0.000, 8.436]],
  "species": ["Dy", "Dy", "Th", "Th", "Th", "Th", "Th", "Th", "Th", "Th", "Th", "Th", "C", "C", "C", "C", "C", "C"],
  "frac_coords": [[0.098, 0.098, 0.304], [0.902, 0.902, 0.696], [0.042, 0.627, 0.335], [0.236, 0.236, 0.032], [0.291, 0.709, 0.000], [0.373, 0.958, 0.665], [0.432, 0.432, 0.640], [0.568, 0.568, 0.360], [0.627, 0.042, 0.335], [0.709, 0.291, 0.000], [0.764, 0.764, 0.968], [0.958, 0.373, 0.665], [0.000, 0.000, 0.000], [0.000, 0.000, 0.500], [0.332, 0.332, 0.337], [0.332, 0.332, 0.833], [0.668, 0.668, 0.167], [0.668, 0.668, 0.663]],
  "delta_e_f_ev_per_atom": -0.16,
  "crystal_system": "monoclinic",
  "magmom_total_mub_per_cell": 0.0,
  "spacegroup": "No. 12"
}

***

No. 2
{
  "formula": "Dy3ThC2",
  "functional": "PBE-GGA",
  "state": "optimized geometry",
  "cell": [[3.611, 2.085, 6.213], [-3.611, 2.085, 6.213], [0.000, -4.170, 6.213]],
  "species": ["Dy", "Dy", "Dy", "Dy", "Dy", "Dy", "Th", "Th", "C", "C", "C", "C"],
  "frac_coords": [[0.243, 0.739, 0.739], [0.261, 0.261, 0.757], [0.261, 0.757, 0.261], [0.739, 0.243, 0.739], [0.739, 0.739, 0.243], [0.757, 0.261, 0.261], [0.242, 0.242, 0.242], [0.758, 0.758, 0.758], [0.000, 0.000, 0.500], [0.000, 0.500, 0.000], [0.500, 0.000, 0.000], [0.500, 0.500, 0.500]],
  "delta_e_f_ev_per_atom": -0.26,
  "crystal_system": "trigonal",
  "magmom_total_mub_per_cell": 2.1,
  "spacegroup": "No. 166"
}

***

No. 3
{
  "formula": "Dy2Th5C5",
  "functional": "PBE-GGA",
  "state": "optimized geometry",
  "cell": [[6.099, -1.845, 0.000], [6.099, 1.845, 0.000], [-3.067, 0.000, 10.637]],
  "species": ["Dy", "Dy", "Th", "Th", "Th", "Th", "Th", "C", "C", "C", "C", "C"],
  "frac_coords": [[0.029, 0.029, 0.285], [0.971, 0.971, 0.715], [0.258, 0.258, 0.144], [0.343, 0.343, 0.447], [0.500, 0.500, 0.000], [0.657, 0.657, 0.553], [0.742, 0.742, 0.856], [0.000, 0.000, 0.500], [0.128, 0.128, 0.930], [0.328, 0.328, 0.685], [0.672, 0.672, 0.315], [0.872, 0.872, 0.070]],
  "delta_e_f_ev_per_atom": -0.14,
  "crystal_system": "monoclinic",
  "magmom_total_mub_per_cell": 0.0,
  "spacegroup": "No. 12"
}

***

No. 4
{
  "formula": "DyThC",
  "functional": "PBE-GGA",
  "state": "optimized geometry",
  "cell": [[3.738, 0.000, 0.000], [0.000, 12.848, 0.000], [0.000, 0.000, 6.063]],
  "species": ["Dy", "Dy", "Dy", "Dy", "Th", "Th", "Th", "Th", "C", "C", "C", "C"],
  "frac_coords": [[0.000, 0.195, 0.000], [0.000, 0.805, 0.500], [0.500, 0.305, 0.500], [0.500, 0.695, 0.000], [0.000, 0.459, 0.037], [0.000, 0.541, 0.537], [0.500, 0.041, 0.537], [0.500, 0.959, 0.037], [0.000, 0.352, 0.731], [0.000, 0.648, 0.231], [0.500, 0.148, 0.231], [0.500, 0.852, 0.731]],
  "delta_e_f_ev_per_atom": 0.08,
  "crystal_system": "orthorhombic",
  "magmom_total_mub_per_cell": 0.0,
  "spacegroup": "No. 36"
}